Run one
TcAg2Os PBE relaxed; mass density = 13.1 Mg/m³; symmetry = No. 123; magnetic moment = 0.0 μB per formula unit
1.0
4.5723 0.0000 0.0000
0.0000 3.7372 0.0000
0.0000 0.0000 3.7372
Ag Os Tc
2 1 1
Direct
0.0000 0.0000 0.0000
0.0000 0.5000 0.5000
0.5000 0.5000 0.0000
0.5000 0.0000 0.5000

***

Run two
TcAg2Os PBE relaxed; mass density = 13.2 Mg/m³; symmetry = No. 10; magnetic moment = 0.0 μB per formula unit
1.0
-2.2239 -0.3079 1.5970
-1.7098 -3.2444 -3.0066
1.1136 -5.6774 0.4561
Ag Os Tc
2 1 1
Direct
0.0000 0.0000 0.0000
0.5000 0.5000 0.0000
0.5000 0.5000 0.5000
0.0000 0.0000 0.5000

***

Run three
TcAg2Os PBE relaxed; mass density = 12.8 Mg/m³; symmetry = No. 123; magnetic moment = 1.1 μB per formula unit
1.0
-2.3467 4.3202 -0.7482
-4.3054 -2.1100 1.3201
0.4395 0.6734 2.5098
Ag Os Tc
2 1 1
Direct
0.0000 0.0000 0.0000
0.5000 0.5000 0.0000
0.5000 0.0000 0.5000
0.0000 0.5000 0.5000

***

Run four
TcAg2Os PBE relaxed; mass density = 13.2 Mg/m³; symmetry = No. 225; magnetic moment = 0.0 μB per formula unit
1.0
2.8612 -3.2094 1.2315
1.8837 0.1189 4.0548
-1.1925 -2.9868 3.1082
Os Tc Ag
1 1 2
Direct
0.5000 0.5000 0.5000
0.0000 0.0000 0.0000
0.2500 0.2500 0.2500
0.7500 0.7500 0.7500

***

Ranked by calculated energy, most stable first: run two, run one, run three, run four.

***

Run one
TcAg2Os PBE relaxed; mass density = 13.1 Mg/m³; symmetry = No. 139; magnetic moment = 0.0 μB per formula unit
1.0
5.2820 0.0148 0.0000
2.6242 4.5840 0.0000
-3.9531 -2.2994 2.6430
Ag Os Tc
2 1 1
Direct
0.0000 0.0000 0.0000
0.5000 0.5000 0.0000
0.2500 0.7500 0.5000
0.7500 0.2500 0.5000

***

Run two
TcAg2Os PBE relaxed; mass density = 13.2 Mg/m³; symmetry = No. 166; magnetic moment = 0.8 μB per formula unit
1.0
9.8309 -0.0013 -0.0007
9.4471 2.7203 -0.0007
9.4471 1.3324 2.3716
Ag Os Tc
2 1 1
Direct
0.0002 0.0002 0.0002
0.4998 0.4998 0.4998
0.2500 0.2500 0.2500
0.7500 0.7500 0.7500

***

Ranked by calculated energy, most stable first: run two, run one.

***

Run one
TcAg2Os PBE relaxed; mass density = 13.1 Mg/m³; symmetry = No. 65; magnetic moment = 0.0 μB per formula unit
1.0
5.2837 -0.0142 0.0000
-2.6307 4.5823 0.0000
0.0000 0.0000 2.6454
Ag Os Tc
2 1 1
Direct
0.0000 0.0000 0.0000
0.5000 0.5000 0.0000
0.5000 0.0000 0.5000
0.0000 0.5000 0.5000

***

Run two
TcAg2Os PBE relaxed; mass density = 13.0 Mg/m³; symmetry = No. 160; magnetic moment = 0.0 μB per formula unit
1.0
9.6521 -0.0052 -0.0030
9.2502 2.7563 -0.0030
9.2502 1.3463 2.4051
Ag Os Tc
2 1 1
Direct
0.0020 0.0020 0.0020
0.2480 0.2480 0.2480
0.4940 0.4940 0.4940
0.7559 0.7559 0.7559

***

Run three
TcAg2Os PBE relaxed; mass density = 13.1 Mg/m³; symmetry = No. 8; magnetic moment = 0.0 μB per formula unit
1.0
-4.4741 -0.9371 -1.2821
-2.8930 -2.5926 -2.7291
-0.8383 -3.8311 3.4673
Ag Os Tc
2 1 1
Direct
0.0001 0.0001 0.0161
0.2481 0.2481 0.2342
0.4985 0.4985 0.5390
0.7533 0.7533 0.7108

***

Run four
TcAg2Os PBE relaxed; mass density = 12.8 Mg/m³; symmetry = No. 44; magnetic moment = 0.0 μB per formula unit
1.0
-2.7199 -3.8634 -2.9468
1.2035 -0.6919 -5.3926
1.4768 -0.1532 5.3668
Ag Os Tc
2 1 1
Direct
0.0049 0.0049 0.0000
0.7418 0.2418 0.5000
0.4835 0.4835 0.0000
0.2699 0.7699 0.5000

***

Ranked by calculated energy, most stable first: run two, run three, run four, run one.

***

Run one
TcAg2Os PBE relaxed; mass density = 13.3 Mg/m³; symmetry = No. 119; magnetic moment = 0.0 μB per formula unit
1.0
-0.3909 -2.2099 4.2160
-2.2026 -4.1487 -0.8650
3.8359 1.9197 -2.1003
Ag Os Tc
2 1 1
Direct
0.0000 0.0000 0.0000
0.2500 0.7500 0.5000
0.5000 0.5000 0.0000
0.7500 0.2500 0.5000

***

Run two
TcAg2Os PBE relaxed; mass density = 12.8 Mg/m³; symmetry = No. 99; magnetic moment = 0.0 μB per formula unit
1.0
-0.5221 0.0982 2.7979
-2.6490 -0.9382 -0.4614
2.5729 -7.6322 0.7479
Ag Os Tc
2 1 1
Direct
0.0000 0.0000 0.9920
0.5000 0.5000 0.2590
0.0000 0.0000 0.5283
0.5000 0.5000 0.7207

***

Ranked by calculated energy, most stable first: run two, run one.

***

Run one
TcAgOs2 PBE relaxed; mass density = 14.1 Mg/m³; symmetry = No. 122; magnetic moment = 0.0 μB per formula unit
1.0
7.2326 0.0000 0.0000
0.0000 7.2326 0.0000
3.6163 3.6163 2.6492
Os Tc Ag
4 2 2
Direct
0.5749 0.1250 0.2500
0.1751 0.6250 0.2500
0.3750 0.4251 0.7500
0.8750 0.8249 0.7500
0.5000 0.5000 0.0000
0.2500 0.7500 0.5000
0.0000 0.0000 0.0000
0.7500 0.2500 0.5000

***

Run two
TcAgOs2 PBE relaxed; mass density = 16.2 Mg/m³; symmetry = No. 123; magnetic moment = 0.1 μB per formula unit
1.0
-2.8737 -2.6184 0.3880
2.6386 -2.7734 0.8264
-0.2784 0.8699 3.8082
Ag Os Tc
1 2 1
Direct
0.5000 0.0000 0.5000
0.0000 0.0000 0.0000
0.0000 0.5000 0.5000
0.5000 0.5000 0.0000

***

Ranked by calculated energy, most stable first: run two, run one.

***

Run one
TcAgOs2 PBE relaxed; mass density = 16.0 Mg/m³; symmetry = No. 216; magnetic moment = 0.0 μB per formula unit
1.0
4.4183 0.0000 0.0000
2.2092 3.8264 0.0000
2.2092 1.2755 3.6076
Ag Os Tc
1 2 1
Direct
0.5000 0.5000 0.5000
0.0000 0.0000 0.0000
0.7500 0.7500 0.7500
0.2500 0.2500 0.2500

***

Run two
TcAgOs2 PBE relaxed; mass density = 16.0 Mg/m³; symmetry = No. 99; magnetic moment = 0.0 μB per formula unit
1.0
2.7338 0.0000 0.0000
0.0000 2.7338 0.0000
0.0000 0.0000 8.1396
Ag Os Tc
1 2 1
Direct
0.5000 0.5000 0.7516
0.0000 0.0000 0.0201
0.5000 0.5000 0.2433
0.0000 0.0000 0.4850

***

Run three
TcAgOs2 PBE relaxed; mass density = 16.0 Mg/m³; symmetry = No. 25; magnetic moment = 0.0 μB per formula unit
1.0
-0.4640 1.3511 -3.6465
-2.4435 -1.2625 -0.1569
-4.9557 3.3501 1.8718
Ag Os Tc
1 2 1
Direct
0.5000 0.7503 0.7499
0.0000 0.9731 0.0260
0.5000 0.2526 0.2473
0.0000 0.5240 0.4769

***

Run four
TcAgOs2 PBE relaxed; mass density = 16.0 Mg/m³; symmetry = No. 166; magnetic moment = 0.0 μB per formula unit
1.0
9.4126 0.0032 0.0019
9.0091 2.7264 0.0019
9.0091 1.3349 2.3773
Ag Os Tc
1 2 1
Direct
0.7500 0.7500 0.7500
0.9934 0.9934 0.9934
0.5066 0.5066 0.5066
0.2500 0.2500 0.2500

***

Ranked by calculated energy, most stable first: run four, run two, run three, run one.